LiSnN2O, optimized geometry, DFT PBE; formation energy (no corrections) = 1.029 eV/atom; space group = P4/mmm; N(E_F) = 2.22 states/eV/cell
1.0
3.881 0.000 0.000
0.000 3.881 0.000
0.000 0.000 3.579
Li Sn N O
1 1 2 1
Direct
0.000 0.000 0.000 Li
0.500 0.500 0.500 Sn
0.500 0.000 0.000 N
0.000 0.500 0.000 N
0.000 0.000 0.500 O